This record from the Open Quantum Materials Database describes a geometry-optimized GdHoNCl2 structure. The functional is PBE.

Cell: 3.6013 3.6013 10.0866 Å, 90.00 90.00 120.00°
Last column: nearest neighbours and their distance in Å.
Fractional coordinates of all 5 atoms:
Gd1 0.0000 0.0000 0.0000  3 N 2.49, 3 Cl 2.75
Ho1 0.3333 0.6667 0.2594  3 N 2.42
N1 0.6667 0.3333 0.1358  3 Ho 2.42, 3 Gd 2.49
Cl1 0.0000 0.0000 0.4340  3 Ho 2.72
Cl2 0.3333 0.6667 0.8211  3 Gd 2.75

Computed properties:
As for the crystal system: trigonal. The value obtained for the magnetization is 0.00 Bohr magnetons per cell. The value obtained for the total energy is -31.1 eV for the cell shown.